Entry 1:
A geometry-optimized CaGePdO4 structure. Source: the Alexandria database, functional PBE-GGA.

Structure (extended XYZ):
```
14
Lattice="3.022 -4.550 0.000 3.022 4.550 0.000 0.000 0.000 6.905" Properties=species:S:1:pos:R:3 pbc="T T T"
Ca 0.000 0.000 0.000
Ca 0.000 0.000 3.452
Ge 3.022 1.188 5.179
Ge 3.022 -1.188 1.726
Pd 3.022 1.846 1.726
Pd 3.022 -1.846 5.179
O 1.598 0.110 5.179
O 3.022 2.217 3.733
O 3.022 2.217 6.624
O 1.598 -0.110 1.726
O 4.447 0.110 5.179
O 3.022 -2.217 0.280
O 3.022 -2.217 3.172
O 4.447 -0.110 1.726
```

Summary:
* raw total energy: -85.25 eV per cell
* symmetry: Cmcm, No. 63
* E_form (uncorrected): -10.98 eV/f.u.

Entry 2:
A geometry-optimized CaGePtO4 structure. Source: the Alexandria database, functional PBE-GGA.

Structure (extended XYZ):
```
14
Lattice="3.031 -4.572 0.000 3.031 4.572 0.000 0.000 0.000 6.875" Properties=species:S:1:pos:R:3 pbc="T T T"
Ca 0.000 0.000 0.000
Ca 0.000 0.000 3.437
Ge 3.031 1.183 5.156
Ge 3.031 -1.183 1.719
Pt 3.031 1.929 1.719
Pt 3.031 -1.929 5.156
O 1.613 0.098 5.156
O 3.031 2.233 3.717
O 3.031 2.233 6.595
O 1.613 -0.098 1.719
O 4.449 0.098 5.156
O 3.031 -2.233 0.280
O 3.031 -2.233 3.158
O 4.449 -0.098 1.719
```

Summary:
* raw total energy: -85.58 eV per cell
* symmetry: Cmcm, No. 63
* E_form (uncorrected): -10.30 eV/f.u.

Entry 3:
A geometry-optimized Ca2GePtO6 structure. Source: the Alexandria database, functional PBE-GGA.

Structure (extended XYZ):
```
10
Lattice="5.301 0.000 0.000 0.000 5.301 0.000 0.000 0.000 4.487" Properties=species:S:1:pos:R:3 pbc="T T T"
Ca 0.000 2.650 0.000
Ca 2.650 0.000 0.000
Ge 0.000 0.000 2.345
Pt 2.650 2.650 2.663
O 0.000 0.000 0.601
O 1.256 1.256 2.953
O 1.256 4.045 2.953
O 2.650 2.650 0.483
O 4.045 1.256 2.953
O 4.045 4.045 2.953
```

Summary:
* raw total energy: -61.57 eV per cell
* symmetry: P4mm, No. 99
* E_form (uncorrected): -17.15 eV/f.u.

Repeat the second record exactly.
A geometry-optimized CaGePtO4 structure. Source: the Alexandria database, functional PBE-GGA.

Structure (extended XYZ):
```
14
Lattice="3.031 -4.572 0.000 3.031 4.572 0.000 0.000 0.000 6.875" Properties=species:S:1:pos:R:3 pbc="T T T"
Ca 0.000 0.000 0.000
Ca 0.000 0.000 3.437
Ge 3.031 1.183 5.156
Ge 3.031 -1.183 1.719
Pt 3.031 1.929 1.719
Pt 3.031 -1.929 5.156
O 1.613 0.098 5.156
O 3.031 2.233 3.717
O 3.031 2.233 6.595
O 1.613 -0.098 1.719
O 4.449 0.098 5.156
O 3.031 -2.233 0.280
O 3.031 -2.233 3.158
O 4.449 -0.098 1.719
```

Summary:
* raw total energy: -85.58 eV per cell
* symmetry: Cmcm, No. 63
* E_form (uncorrected): -10.30 eV/f.u.

Which value of E_form (uncorrected) does entry 3 give?
-17.15 eV/f.u.

Number 3 is which compound?
Ca2GePtO6